Below is crystalline YInN at its relaxed geometry, with properties calculated at the PBE level.

Cell and atoms, written as POSCAR:
```
YInN
1.0
6.714 2.432 0.000
1.258 7.030 0.000
-3.986 -4.731 5.612
Y In N
4 4 4
Direct
0.748 0.252 0.000 Y
0.998 0.002 0.500 Y
0.252 0.748 0.000 Y
0.502 0.498 0.500 Y
0.757 0.757 0.514 In
0.243 0.243 0.486 In
0.007 0.507 0.014 In
0.493 0.993 0.986 In
0.625 0.375 0.750 N
0.125 0.375 0.750 N
0.625 0.875 0.250 N
0.625 0.375 0.250 N
```

Properties
uncorrected formation energy = -321 meV/atom